[1]
Material: NaSc2Tl3
Method: DFT, PBE-GGA
State: optimized geometry

```
6
Lattice="-2.242 0.159 -2.866 0.054 -3.633 -0.244 -8.841 -0.594 6.883" Properties=species:S:1:pos:R:3 pbc="T T T"
Sc -8.511 -2.236 4.220
Sc -2.517 -1.833 -0.446
Na -5.514 -2.034 1.887
Tl -2.785 -0.187 2.168
Tl 0.000 0.000 0.000
Tl -6.056 -0.407 4.715
```

The value obtained for the calculated density is 8.101 g cm⁻³. The space group is No. 123. The value obtained for the formation energy is -196 meV/atom. For the calculated volume, the calculation gives 24.803 Å³ per atom.

[2]
Material: Ba5HgAu
Method: DFT, PBE-GGA
State: optimized geometry

```
14
Lattice="0.235 -7.234 -4.085 7.525 -2.560 -2.430 4.164 -9.240 7.755" Properties=species:S:1:pos:R:3 pbc="T T T"
Ba 5.869 -5.132 -3.612
Ba 6.376 -7.740 1.519
Ba 1.712 -9.264 -2.048
Ba 10.211 -9.769 3.287
Ba 5.547 -11.293 -0.280
Ba 2.169 -6.234 1.049
Ba 5.498 -9.574 -4.181
Ba 9.754 -12.800 0.190
Ba 6.055 -13.901 4.851
Ba 6.425 -9.459 5.420
Hg 4.525 -7.461 -1.409
Hg 7.398 -11.573 2.648
Au 2.082 -4.620 3.877
Au 0.000 0.000 0.000
```

The value obtained for the calculated density is 4.960 g cm⁻³. The space group is No. 15. The value obtained for the formation energy is -302 meV/atom. For the calculated volume, the calculation gives 51.852 Å³ per atom. Its energy above the most stable polymorph in this dataset is 41 meV per atom.

[3]
Material: TmTh2Sc
Method: DFT, PBE-GGA
State: optimized geometry

```
4
Lattice="3.511 0.000 0.000 1.756 3.041 0.000 1.756 1.014 11.124" Properties=species:S:1:pos:R:3 pbc="T T T"
Sc 0.000 0.000 0.000
Tm 3.511 2.027 5.562
Th 5.267 3.041 8.418
Th 1.756 1.014 2.706
```

The value obtained for the calculated density is 9.478 g cm⁻³. The space group is No. 166. The value obtained for the formation energy is 47 meV/atom. For the calculated volume, the calculation gives 29.696 Å³ per atom. Its energy above the most stable polymorph in this dataset is 16 meV per atom.

[4]
Material: H2Ru2O
Method: DFT, PBE-GGA
State: optimized geometry

```
5
Lattice="-2.201 -2.770 1.380 2.807 -1.073 2.322 -0.707 -0.090 3.917" Properties=species:S:1:pos:R:3 pbc="T T T"
Ru 1.202 -1.542 4.045
Ru -1.302 -2.391 3.574
O 0.000 0.000 0.000
H -0.109 -2.546 5.166
H 0.009 -1.388 2.454
```

The value obtained for the calculated density is 8.623 g cm⁻³. The space group is No. 139. For the calculated volume, the calculation gives 8.479 Å³ per atom. Its energy above the most stable polymorph in this dataset is 121 meV per atom.

[5]
Material: LaNd6Pb
Method: DFT, PBE-GGA
State: optimized geometry

```
8
Lattice="5.040 0.000 0.000 0.000 5.040 0.000 0.000 0.000 10.563" Properties=species:S:1:pos:R:3 pbc="T T T"
Pb 0.000 0.000 0.000
Nd 0.000 2.520 2.544
Nd 2.520 0.000 2.544
Nd 2.520 2.520 0.000
Nd 2.520 2.520 5.281
Nd 0.000 2.520 8.019
Nd 2.520 0.000 8.019
La 0.000 0.000 5.281
```

The value obtained for the calculated density is 7.497 g cm⁻³. The space group is No. 123. The value obtained for the formation energy is -139 meV/atom. For the calculated volume, the calculation gives 33.545 Å³ per atom.

[6]
Material: CuPb3O4
Method: DFT, PBE-GGA
State: optimized geometry

```
16
Lattice="4.022 0.000 0.000 0.000 10.831 0.000 0.000 0.000 7.926" Properties=species:S:1:pos:R:3 pbc="T T T"
Cu 0.259 2.125 0.000
Cu 2.270 8.706 3.963
Pb 0.259 7.294 1.933
Pb 0.259 7.294 5.993
Pb 0.259 1.023 3.963
Pb 2.270 9.808 0.000
Pb 2.270 3.537 2.030
Pb 2.270 3.537 5.897
O 0.259 2.321 6.027
O 2.270 2.255 3.963
O 2.270 8.510 5.862
O 2.270 2.354 0.000
O 2.270 8.510 2.064
O 0.259 2.321 1.899
O 0.259 8.576 0.000
O 0.259 8.477 3.963
```

The value obtained for the calculated density is 7.205 g cm⁻³. As for the uncorrected formation energy: -0.95 eV per atom. The space group is No. 59. For the calculated volume, the calculation gives 21.580 Å³ per atom.

[7]
Material: ReSCl2F
Method: DFT, PBE-GGA
State: optimized geometry

```
5
Lattice="-3.208 -0.127 3.453 -3.400 -0.724 -3.185 0.587 -4.439 0.382" Properties=species:S:1:pos:R:3 pbc="T T T"
S 0.293 -2.219 0.191
Re 0.000 0.000 0.000
Cl -1.700 -0.362 -1.593
Cl -1.604 -0.063 1.726
F -3.010 -2.644 0.325
```

The value obtained for the calculated density is 5.123 g cm⁻³. As for the uncorrected formation energy: -0.06 eV per atom. The space group is No. 123. For the calculated volume, the calculation gives 19.976 Å³ per atom. Its energy above the most stable polymorph in this dataset is 0 meV per atom.

[8]
Material: Na2PuInCl8
Method: DFT, PBE-GGA
State: optimized geometry

```
12
Lattice="6.540 -0.206 -0.003 -0.234 6.359 -0.007 0.004 0.010 8.265" Properties=species:S:1:pos:R:3 pbc="T T T"
Na 3.156 3.084 6.245
Na 3.154 3.079 2.010
Cl 0.847 4.995 6.303
Cl 5.464 1.169 1.952
Cl 4.237 4.494 4.125
Cl 5.466 1.174 6.305
Cl 0.845 4.990 1.950
Cl 4.358 4.622 8.258
Cl 1.952 1.541 -0.003
Cl 2.073 1.669 4.130
Pu 0.002 0.005 4.133
In 0.000 0.000 0.000
```

The value obtained for the calculated density is 3.329 g cm⁻³. As for the uncorrected formation energy: -1.58 eV per atom. The space group is No. 10. For the calculated volume, the calculation gives 28.613 Å³ per atom.

[9]
Material: Li3VOs
Method: DFT, PBE-GGA
State: optimized geometry

```
5
Lattice="4.573 0.000 0.000 0.000 4.573 0.000 0.000 0.000 4.573" Properties=species:S:1:pos:R:3 pbc="T T T"
Li 0.000 0.000 2.287
Li 0.000 2.287 0.000
Li 2.287 0.000 0.000
Os 0.000 0.000 0.000
V 2.287 2.287 2.287
```

The value obtained for the calculated density is 4.548 g cm⁻³. The space group is No. 221. The value obtained for the formation energy is 1394 meV/atom. For the calculated volume, the calculation gives 19.131 Å³ per atom. Its energy above the most stable polymorph in this dataset is 0 meV per atom.

[10]
Material: Mg3Pa3AlN8
Method: DFT, PBE-GGA
State: optimized geometry

```
15
Lattice="-1.259 -5.420 3.826 2.997 -0.730 -6.006 3.011 2.801 4.957" Properties=species:S:1:pos:R:3 pbc="T T T"
Pa 3.004 1.036 -0.524
Pa 0.876 -1.309 4.392
Pa 2.374 -1.674 1.389
Mg 1.498 -0.365 -3.003
Mg 0.000 0.000 0.000
Mg 0.869 -3.075 -1.090
N 3.242 0.433 1.679
N 1.934 -1.020 -0.808
N 4.830 0.045 -1.503
N -0.081 -3.394 4.280
N 2.815 -2.329 3.586
N 0.585 -0.523 2.254
N 1.507 -3.781 1.098
N 4.163 -2.825 0.524
Al 1.505 1.401 2.479
```

The value obtained for the calculated density is 7.424 g cm⁻³. As for the uncorrected formation energy: -1.11 eV per atom. The space group is No. 166. For the calculated volume, the calculation gives 13.496 Å³ per atom.

[11]
Material: In2GeTe4
Method: DFT, PBE-GGA
State: optimized geometry

```
7
Lattice="-0.955 -2.511 5.732 -5.731 -1.978 -1.821 5.947 -3.417 -4.002" Properties=species:S:1:pos:R:3 pbc="T T T"
In 0.825 -4.086 1.843
In -1.564 -3.819 -1.933
Ge -3.343 -2.244 1.956
Te 0.116 -5.610 -0.469
Te 3.882 -3.082 -2.672
Te -4.083 -3.409 -0.646
Te -1.393 -3.709 3.607
```

The value obtained for the calculated density is 5.135 g cm⁻³. As for the uncorrected formation energy: -0.18 eV per atom. The space group is No. 121. For the calculated volume, the calculation gives 37.546 Å³ per atom.

[12]
Material: LiDyHg
Method: DFT, PBE-GGA
State: optimized geometry

```
9
Lattice="-0.997 -3.827 2.617 -2.232 -3.418 -5.848 6.836 -0.422 1.986" Properties=species:S:1:pos:R:3 pbc="T T T"
Li 3.535 -2.947 -2.964
Li -0.643 -3.516 -5.386
Li -0.519 -0.794 -1.359
Hg 0.791 -2.419 -3.237
Hg 3.814 -1.421 -0.625
Hg -2.730 -5.331 -4.540
Dy 1.191 -5.573 -3.400
Dy 1.465 -3.551 -0.338
Dy -1.778 -3.874 -2.046
```

The value obtained for the calculated density is 8.826 g cm⁻³. The space group is No. 189. The value obtained for the formation energy is -356 meV/atom. For the calculated volume, the calculation gives 23.207 Å³ per atom. Its energy above the most stable polymorph in this dataset is 0 meV per atom.